Below is a geometry-optimized Sm2ThCu structure, with properties calculated at the PBE level.

Summary:
The space-group type is No. 123. For the total energy, the calculation gives -21.20 eV per cell. The offset from the most stable computed form is 0.0 meV/atom.

Unit cell a=3.598 b=3.598 c=8.435 alpha=90.00 beta=90.00 gamma=90.00
Fractional coordinates of all 4 atoms:
Cu: 0.500 0.500 0.000
Sm: 0.000 0.000 0.793
Sm: 0.000 0.000 0.207
Th: 0.500 0.500 0.500

---

Below is a geometry-optimized Sm5ThCu4 structure, with properties calculated at the PBE level.

Summary:
The space-group type is No. 123. For the total energy, the calculation gives -48.74 eV per cell.

Unit cell a=3.563 b=3.563 c=19.136 alpha=90.00 beta=90.00 gamma=90.00
Fractional coordinates of all 10 atoms:
Sm: 0.500 0.500 0.869
Cu: 0.000 0.000 0.592
Cu: 0.000 0.000 0.408
Sm: 0.500 0.500 0.131
Sm: 0.500 0.500 0.315
Cu: 0.000 0.000 0.775
Th: 0.000 0.000 0.000
Cu: 0.000 0.000 0.225
Sm: 0.500 0.500 0.685
Sm: 0.500 0.500 0.500

---

Below is a geometry-optimized SmThCu4 structure, with properties calculated at the PBE level.

Summary:
The space-group type is No. 119. For the total energy, the calculation gives -29.56 eV per cell. The offset from the most stable computed form is 0.0 meV/atom.

Unit cell a=3.914 b=3.914 c=8.258 alpha=103.71 beta=103.71 gamma=90.00
Fractional coordinates of all 6 atoms:
Cu: 0.671 0.171 0.341
Cu: 0.420 0.420 0.840
Cu: 0.829 0.329 0.659
Sm: 0.250 0.750 0.500
Th: 0.000 0.000 0.000
Cu: 0.580 0.580 0.160

---

Below is a geometry-optimized Sm3ThCu4 structure, with properties calculated at the PBE level.

Summary:
The space-group type is No. 51. For the total energy, the calculation gives -78.15 eV per cell.

Unit cell a=5.038 b=7.071 c=10.074 alpha=90.00 beta=90.00 gamma=90.00
Fractional coordinates of all 16 atoms:
Sm: 0.502 0.500 0.750
Sm: 0.498 0.500 0.250
Sm: 0.501 0.000 0.750
Sm: 0.000 0.000 0.000
Cu: 0.997 0.748 0.250
Th: 0.000 0.500 0.500
Th: 0.000 0.500 0.000
Sm: 0.499 0.000 0.250
Cu: 0.500 0.251 0.000
Cu: 0.500 0.251 0.500
Cu: 0.500 0.749 0.000
Cu: 0.003 0.748 0.750
Cu: 0.500 0.749 0.500
Cu: 0.997 0.252 0.250
Sm: 0.000 0.000 0.500
Cu: 0.003 0.252 0.750

---

Below is a geometry-optimized Sm3ThCu2 structure, with properties calculated at the PBE level.

Summary:
The space-group type is No. 123. For the total energy, the calculation gives -30.36 eV per cell.

Unit cell a=3.580 b=3.580 c=12.023 alpha=90.00 beta=90.00 gamma=90.00
Fractional coordinates of all 6 atoms:
Th: 0.500 0.500 0.500
Sm: 0.000 0.000 0.000
Cu: 0.500 0.500 0.143
Cu: 0.500 0.500 0.857
Sm: 0.000 0.000 0.708
Sm: 0.000 0.000 0.292

---

Below is a geometry-optimized SmThCu structure, with properties calculated at the PBE level.

Summary:
The space-group type is No. 156. For the total energy, the calculation gives -15.71 eV per cell. The offset from the most stable computed form is 240.2 meV/atom.

Unit cell a=3.721 b=4.888 c=4.888 alpha=120.00 beta=90.00 gamma=90.00
Fractional coordinates of all 3 atoms:
Sm: 0.707 0.667 0.333
Th: 0.284 0.333 0.667
Cu: 0.009 0.000 0.000

---

no.,energy relative to the elements (kJ/mol of formula units)
1,-24
2,-129
3,-100
4,-108
5,-57
6,50